1.
The following is a DFT calculation (PBEsol) of a relaxed CdIn2Se4 crystal.

Cell and atoms, written as extended XYZ:
```
7
Lattice="-2.881 2.881 5.867 2.881 -2.881 5.867 2.881 2.881 -5.867" Properties=species:S:1:pos:R:3 pbc="T T T"
Cd 0.000 0.000 0.000
In 2.881 0.000 2.933
In 0.000 2.881 2.933
Se 1.620 1.620 -1.328
Se 1.260 -1.260 7.194
Se 1.260 1.260 4.539
Se -1.260 1.260 7.194
```

Calculated values
V = 27.82 Å³ per atom
space-group type = No. 121
raw formation energy = -0.537 eV/atom
total energy = -3.7599 eV/atom

2.
The following is a DFT calculation (PBEsol) of a relaxed ZrP2H2O6 crystal.

Cell and atoms, written as extended XYZ:
```
11
Lattice="5.455 0.000 0.000 -2.727 4.724 0.000 0.000 0.000 5.737" Properties=species:S:1:pos:R:3 pbc="T T T"
Zr 0.000 0.000 0.000
P 0.000 3.149 4.103
P 2.727 1.575 1.634
H 0.000 3.149 2.694
H 2.727 1.575 3.044
O -0.093 1.689 4.550
O -1.218 3.959 4.550
O 1.417 0.925 1.187
O 1.311 3.799 4.550
O 3.946 0.764 1.187
O 2.820 3.035 1.187
```

Calculated values
V = 13.44 Å³ per atom
DOS(E_F) = 0.000 states/eV/cell
space-group type = No. 147
total energy = -7.4845 eV/atom

3.
The following is a DFT calculation (PBEsol) of a relaxed IrW crystal.

Cell and atoms, written as extended XYZ:
```
8
Lattice="4.817 0.000 0.000 0.000 4.428 0.000 0.000 0.000 5.532" Properties=species:S:1:pos:R:3 pbc="T T T"
Ir 0.411 1.107 0.690
Ir 1.997 3.321 3.457
Ir 2.819 1.107 2.076
Ir 4.406 3.321 4.842
W 0.446 1.107 3.446
W 1.962 3.321 0.679
W 2.855 1.107 4.853
W 4.370 3.321 2.087
```

Calculated values
formation enthalpy at 0 K = -235 meV per atom
V = 14.75 Å³ per atom
DOS(E_F) = 4.980 states/eV/cell
space-group type = No. 62
total energy = -12.0506 eV/atom

4.
The following is a DFT calculation (PBEsol) of a relaxed LiP3 crystal.

Cell and atoms, written as extended XYZ:
```
4
Lattice="3.119 0.000 0.000 -1.559 2.701 0.000 0.000 0.000 7.051" Properties=species:S:1:pos:R:3 pbc="T T T"
Li 0.000 0.000 0.000
P 0.000 0.000 3.526
P 0.000 1.801 1.953
P 0.000 1.801 5.098
```

Calculated values
formation enthalpy at 0 K = 51 meV per atom
V = 14.85 Å³ per atom
DOS(E_F) = 1.345 states/eV/cell
space-group type = No. 187
total energy = -4.7845 eV/atom

5.
The following is a DFT calculation (PBEsol) of a relaxed FeOs2Pb crystal.

Cell and atoms, written as extended XYZ:
```
4
Lattice="1.433 0.827 8.909 -1.433 0.827 8.909 0.000 -1.654 8.909" Properties=species:S:1:pos:R:3 pbc="T T T"
Fe 0.000 0.000 0.000
Os 0.000 0.000 7.008
Os 0.000 0.000 19.719
Pb 0.000 0.000 13.364
```

Calculated values
formation enthalpy at 0 K = 842 meV per atom
V = 15.84 Å³ per atom
DOS(E_F) = 3.974 states/eV/cell
space-group type = No. 166
total energy = -8.5069 eV/atom

6.
The following is a DFT calculation (PBEsol) of a relaxed Dy3Ge4 crystal.

Cell and atoms, written as extended XYZ:
```
14
Lattice="1.998 -5.278 0.000 1.998 5.278 0.000 0.000 0.000 14.070" Properties=species:S:1:pos:R:3 pbc="T T T"
Dy 1.998 4.837 10.553
Dy 1.998 1.812 8.401
Dy 1.998 1.812 12.704
Dy 1.998 -1.812 1.366
Dy 1.998 -1.812 5.669
Dy 1.998 -4.837 3.518
Ge 0.000 0.000 0.000
Ge 0.000 0.000 7.035
Ge 1.998 2.857 3.518
Ge 1.998 1.239 1.523
Ge 1.998 1.239 5.512
Ge 1.998 -1.239 8.558
Ge 1.998 -1.239 12.547
Ge 1.998 -2.857 10.553
```

Calculated values
formation enthalpy at 0 K = -856 meV per atom
V = 21.20 Å³ per atom
DOS(E_F) = 4.431 states/eV/cell
space-group type = No. 63
total energy = -5.8118 eV/atom

7.
The following is a DFT calculation (PBEsol) of a relaxed Li2Ti3NiO8 crystal.

Cell and atoms, written as extended XYZ:
```
14
Lattice="2.943 1.699 4.760 -2.943 1.699 4.760 0.000 -3.398 4.760" Properties=species:S:1:pos:R:3 pbc="T T T"
Li 0.000 0.000 0.000
Li 0.000 0.000 5.427
Ti 0.000 -1.729 7.840
Ti -1.497 0.864 7.840
Ti 1.497 0.864 7.840
Ni 0.000 0.000 10.902
O 0.000 -1.563 4.078
O -1.354 0.781 4.078
O 0.000 0.000 1.996
O -1.380 -0.797 6.751
O 1.354 0.781 4.078
O 0.000 0.000 8.904
O 1.380 -0.797 6.751
O 0.000 1.593 6.751
```

Calculated values
V = 10.20 Å³ per atom
DOS(E_F) = 2.299 states/eV/cell
space-group type = No. 160
raw formation energy = -2.481 eV/atom
total energy = -7.9845 eV/atom

8.
The following is a DFT calculation (PBEsol) of a relaxed HgMo2Pb crystal.

Cell and atoms, written as extended XYZ:
```
4
Lattice="0.000 3.294 3.294 3.294 0.000 3.294 3.294 3.294 0.000" Properties=species:S:1:pos:R:3 pbc="T T T"
Hg 0.000 0.000 0.000
Mo 1.647 1.647 1.647
Mo 4.941 4.941 4.941
Pb 3.294 3.294 3.294
```

Calculated values
formation enthalpy at 0 K = 791 meV per atom
V = 17.88 Å³ per atom
DOS(E_F) = 2.986 states/eV/cell
space-group type = No. 225
total energy = -6.2340 eV/atom

9.
The following is a DFT calculation (PBEsol) of a relaxed NaLiBr2 crystal.

Cell and atoms, written as extended XYZ:
```
8
Lattice="-3.224 3.224 5.521 3.224 -3.224 5.521 3.224 3.224 -5.521" Properties=species:S:1:pos:R:3 pbc="T T T"
Na 0.000 0.000 0.000
Na 0.000 3.224 2.761
Li 3.224 0.000 2.761
Li 0.000 0.000 5.521
Br 1.612 -1.351 4.141
Br 1.873 1.612 1.380
Br 1.612 4.575 -1.380
Br 1.351 1.612 6.902
```

Calculated values
V = 28.70 Å³ per atom
DOS(E_F) = 0.000 states/eV/cell
space-group type = No. 122
raw formation energy = -1.493 eV/atom
total energy = -3.2692 eV/atom

10.
The following is a DFT calculation (PBEsol) of a relaxed Cd3TcOs crystal.

Cell and atoms, written as extended XYZ:
```
5
Lattice="5.034 0.000 0.000 0.000 5.034 0.000 0.000 0.000 5.034" Properties=species:S:1:pos:R:3 pbc="T T T"
Cd 0.000 0.000 2.517
Cd 0.000 2.517 0.000
Cd 2.517 0.000 0.000
Tc 2.517 2.517 2.517
Os 0.000 0.000 0.000
```

Calculated values
formation enthalpy at 0 K = 1761 meV per atom
V = 25.51 Å³ per atom
DOS(E_F) = 2.558 states/eV/cell
space-group type = No. 221
total energy = -3.6541 eV/atom

11.
The following is a DFT calculation (PBEsol) of a relaxed CuSiPt crystal.

Cell and atoms, written as extended XYZ:
```
3
Lattice="0.000 2.810 2.810 2.810 0.000 2.810 2.810 2.810 0.000" Properties=species:S:1:pos:R:3 pbc="T T T"
Cu 0.000 0.000 0.000
Si 1.405 1.405 1.405
Pt 4.214 4.214 4.214
```

Calculated values
V = 14.79 Å³ per atom
DOS(E_F) = 1.378 states/eV/cell
space-group type = No. 216
raw formation energy = -0.019 eV/atom
total energy = -5.7000 eV/atom

12.
The following is a DFT calculation (PBEsol) of a relaxed Al7FeCu2 crystal.

Cell and atoms, written as extended XYZ:
```
40
Lattice="6.265 0.000 0.000 0.000 6.265 0.000 0.000 0.000 14.632" Properties=species:S:1:pos:R:3 pbc="T T T"
Al 0.000 0.000 1.947
Al 0.000 0.000 12.685
Al 0.530 1.840 5.861
Al 0.530 1.840 8.771
Al 1.028 4.161 3.658
Al 1.028 4.161 10.974
Al 1.293 2.603 1.455
Al 1.293 2.603 13.177
Al 1.840 5.736 5.861
Al 1.840 5.736 8.771
Al 2.104 1.028 3.658
Al 2.104 1.028 10.974
Al 2.603 4.973 1.455
Al 2.603 4.973 13.177
Al 3.133 3.133 5.369
Al 3.133 3.133 9.263
Al 3.662 1.293 1.455
Al 3.662 1.293 13.177
Al 4.161 5.237 3.658
Al 4.161 5.237 10.974
Al 4.425 0.530 5.861
Al 4.425 0.530 8.771
Al 4.973 3.662 1.455
Al 4.973 3.662 13.177
Al 5.237 2.104 3.658
Al 5.237 2.104 10.974
Al 5.736 4.425 5.861
Al 5.736 4.425 8.771
Fe 0.000 0.000 4.378
Fe 0.000 0.000 10.255
Fe 3.133 3.133 2.939
Fe 3.133 3.133 11.694
Cu 0.539 4.570 0.000
Cu 1.437 3.672 7.316
Cu 1.696 0.539 0.000
Cu 2.594 1.437 7.316
Cu 3.672 4.829 7.316
Cu 4.570 5.726 0.000
Cu 4.829 2.594 7.316
Cu 5.726 1.696 0.000
```

Calculated values
formation enthalpy at 0 K = -263 meV per atom
V = 14.36 Å³ per atom
DOS(E_F) = 9.958 states/eV/cell
space-group type = No. 128
total energy = -4.8907 eV/atom